1.
MnSn4Rh7 | PBE | relaxed

- V (Å³/atom) = 18.103
- N(E_F) (states/eV per cell) = 10.233
- crystal system = monoclinic
- theoretical density (g/cm3) = 9.556
- magnetic moment (μB/f.u.) = 4.7
- uncorrected energy (Ry per atom) = -0.4801

Cell: 12.5595 4.6233 9.3830 Å, 90.00 127.11 90.00°
Last column: nearest neighbours and their distance in Å.
Space group C2/m (No. 12)
One atom of each set of equivalent atoms:
Mn1 0.0000 0.0000 0.0000 x2  4 Rh 2.31-2.50
Sn1 0.0822 0.5000 0.7856 x4  8 Rh 2.64-2.80
Sn2 0.2200 0.5000 0.3399 x4  8 Rh 2.57-2.87
Rh1 0.0000 0.5000 0.0000 x2  2 Mn 2.31
Rh2 0.0733 0.0000 0.3140 x4  1 Mn 2.50, 3 Sn 2.67-2.80
Rh3 0.1404 0.5000 0.5579 x4  5 Sn 2.64-2.77
Rh4 0.2129 0.0000 0.8706 x4  4 Sn 2.57-2.66

***

2.
HgP2Ru | PBE | relaxed

- V (Å³/atom) = 18.919
- N(E_F) (states/eV per cell) = 2.274
- crystal system = orthorhombic
- theoretical density (g/cm3) = 7.978
- magnetic moment (μB/f.u.) = 0.0
- uncorrected energy (Ry per atom) = -0.3656

Cell: 2.8693 3.6235 7.2787 Å, 90.00 90.00 90.00°
Last column: nearest neighbours and their distance in Å.
Space group Pmm2 (No. 25)
One atom of each set of equivalent atoms:
Hg1 0.0000 0.0000 0.0000 x1  1 P 2.60, 2 Hg 2.87
P1 0.0000 0.0000 0.6423 x1  4 Ru 2.41, 1 Hg 2.60
P2 0.5000 0.5000 0.2446 x1  1 Ru 2.21
Ru1 0.5000 0.5000 0.5478 x1  5 P 2.21-2.41

***

3.
Na6Sm | PBE | relaxed

- V (Å³/atom) = 39.648
- N(E_F) (states/eV per cell) = 12.605
- crystal system = cubic
- theoretical density (g/cm3) = 1.725
- magnetic moment (μB/f.u.) = 0.0
- uncorrected energy (Ry per atom) = -0.0930

Cell: 8.2183 8.2183 8.2183 Å, 90.00 90.00 90.00°
Last column: nearest neighbours and their distance in Å.
Space group Im-3m (No. 229)
One atom of each set of equivalent atoms:
Na1 0.0000 0.2500 0.5000 x12  4 Na 2.91
Sm1 0.0000 0.0000 0.0000 x2  24 Na 4.59

***

4.
TcAsSe | PBE | relaxed

- V (Å³/atom) = 18.047
- N(E_F) (states/eV per cell) = 3.308
- crystal system = orthorhombic
- E above lowest polymorph (eV/f.u.) = 0.00
- theoretical density (g/cm3) = 7.725
- magnetic moment (μB/f.u.) = 0.0
- uncorrected energy (Ry per atom) = -0.4766

Cell: 10.9721 12.5444 6.2937 Å, 90.00 90.00 90.00°
Last column: nearest neighbours and their distance in Å.
Space group Fdd2 (No. 43)
One atom of each set of equivalent atoms:
Tc1 0.0008 0.2511 0.0000 x16  3 Se 2.47-2.49, 3 As 2.48-2.54
As1 0.0858 0.4319 0.5009 x16  3 Tc 2.48-2.54, 1 As 2.54
Se1 0.0939 0.4306 0.0001 x16  3 Tc 2.47-2.49, 1 Se 2.70

***

5.
Si3W | PBE | relaxed

- V (Å³/atom) = 14.016
- N(E_F) (states/eV per cell) = 1.793
- crystal system = cubic
- E above lowest polymorph (eV/f.u.) = 2.05
- theoretical density (g/cm3) = 7.941
- magnetic moment (μB/f.u.) = 0.0
- uncorrected energy (Ry per atom) = -0.4996

Cell: 3.8273 3.8273 3.8273 Å, 90.00 90.00 90.00°
Last column: nearest neighbours and their distance in Å.
Space group Pm-3m (No. 221)
One atom of each set of equivalent atoms:
Si1 0.0000 0.0000 0.5000 x3  4 W 2.71, 8 Si 2.71
W1 0.5000 0.5000 0.5000 x1  12 Si 2.71

***

6.
LiEr2NpTe4 | PBE | relaxed

- V (Å³/atom) = 28.860
- N(E_F) (states/eV per cell) = 14.155
- crystal system = monoclinic
- theoretical density (g/cm3) = 7.831
- magnetic moment (μB/f.u.) = 4.8
- uncorrected energy (Ry per atom) = -0.4149

Cell: 7.5270 4.3164 7.5341 Å, 90.00 109.40 90.00°
Last column: nearest neighbours and their distance in Å.
Space group P2/m (No. 10)
One atom of each set of equivalent atoms:
Li1 0.0000 0.0000 0.0000 x1  6 Te 3.04
Er1 0.5000 0.0000 0.5000 x1  6 Te 3.09-3.11
Er2 0.5000 0.5000 0.0000 x1  6 Te 3.03-3.04
Np1 0.0000 0.5000 0.5000 x1  6 Te 3.09-3.11
Te1 0.2486 0.5000 0.2422 x2  3 Er 3.03-3.09, 2 Li 3.04, 1 Np 3.11
Te2 0.2515 0.0000 0.7576 x2  1 Li 3.04, 3 Er 3.04-3.11, 2 Np 3.09

***

7.
Cs2K3Rb2 | PBE | relaxed

- V (Å³/atom) = 88.735
- N(E_F) (states/eV per cell) = 11.797
- crystal system = monoclinic
- theoretical density (g/cm3) = 1.481
- magnetic moment (μB/f.u.) = 0.0
- uncorrected energy (Ry per atom) = -0.0723

Cell: 15.8733 7.2950 10.7737 Å, 90.00 95.27 90.00°
Last column: nearest neighbours and their distance in Å.
Space group C2/m (No. 12)
One atom of each set of equivalent atoms:
Cs1 0.0645 0.0000 0.2302 x4  6 K 4.83-5.06, 5 Rb 4.97-5.21, 1 Cs 5.19
K1 0.0000 0.5000 0.5000 x2  6 K 4.72-5.23, 4 Cs 4.83, 2 Rb 4.90
K2 0.2257 0.0000 0.6363 x4  5 K 4.72-5.23, 4 Cs 4.86-5.06, 3 Rb 4.98-5.01
Rb1 0.1488 0.5000 0.9196 x4  4 K 4.90-5.01, 5 Cs 4.97-5.21, 3 Rb 5.06-5.18

***

8.
Na2Li2W | PBE | relaxed

- V (Å³/atom) = 18.937
- N(E_F) (states/eV per cell) = 6.240
- crystal system = tetragonal
- E above lowest polymorph (eV/f.u.) = 1.53
- theoretical density (g/cm3) = 4.274
- magnetic moment (μB/f.u.) = 1.8
- uncorrected energy (Ry per atom) = -0.2012

Cell: 3.7744 3.7744 13.2932 Å, 90.00 90.00 90.00°
Last column: nearest neighbours and their distance in Å.
Space group I4/mmm (No. 139)
One atom of each set of equivalent atoms:
Na1 0.0000 0.5000 0.2500 x4  4 Na 2.67, 4 Li 2.91
Li1 0.0000 0.0000 0.0831 x4  1 Li 2.21
W1 0.0000 0.0000 0.5000 x2  8 Li 2.89

***

9.
CrHgAs2 | PBE | relaxed

- V (Å³/atom) = 19.191
- N(E_F) (states/eV per cell) = 2.092
- crystal system = tetragonal
- theoretical density (g/cm3) = 8.705
- magnetic moment (μB/f.u.) = 3.7
- uncorrected energy (Ry per atom) = -0.3263

Cell: 4.4121 4.4121 3.9433 Å, 90.00 90.00 90.00°
Last column: nearest neighbours and their distance in Å.
Space group P4/mmm (No. 123)
One atom of each set of equivalent atoms:
Cr1 0.0000 0.0000 0.0000 x1  8 As 2.96, 4 Hg 3.12
Hg1 0.5000 0.5000 0.0000 x1  8 As 2.96, 4 Cr 3.12
As1 0.0000 0.5000 0.5000 x2  4 Hg 2.96, 4 Cr 2.96, 4 As 3.12

***

10.
Er2PdS | PBE | relaxed

- V (Å³/atom) = 22.724
- N(E_F) (states/eV per cell) = 5.483
- crystal system = trigonal
- E above lowest polymorph (eV/f.u.) = 0.70
- theoretical density (g/cm3) = 8.641
- magnetic moment (μB/f.u.) = 0.0
- uncorrected energy (Ry per atom) = -0.4320

Cell: 3.8163 3.8163 21.6199 Å, 90.00 90.00 120.00°
Last column: nearest neighbours and their distance in Å.
Space group R3m (No. 160, hexagonal axes)
One atom of each set of equivalent atoms:
Er1 0.0000 0.0000 0.0000 x3  3 Pd 2.80, 3 S 2.87
Er2 0.0000 0.0000 0.1728 x3  3 Pd 2.81, 3 S 2.91
Pd1 0.0000 0.0000 0.5869 x3  6 Er 2.80-2.81
S1 0.0000 0.0000 0.4182 x3  6 Er 2.87-2.91

***

11.
Sm4DyY15 | PBE | relaxed

- V (Å³/atom) = 32.456
- N(E_F) (states/eV per cell) = 28.490
- crystal system = tetragonal
- theoretical density (g/cm3) = 5.366
- magnetic moment (μB/f.u.) = 0.0
- uncorrected energy (Ry per atom) = -0.4410

Cell: 5.0664 5.0664 25.2883 Å, 90.00 90.00 90.00°
Last column: nearest neighbours and their distance in Å.
Space group P4/mmm (No. 123)
One atom of each set of equivalent atoms:
Sm1 0.0000 0.0000 0.1002 x2  12 Y 3.58
Sm2 0.0000 0.0000 0.3005 x2  12 Y 3.58-3.59
Dy1 0.0000 0.0000 0.5000 x1  12 Y 3.56-3.58
Y1 0.0000 0.5000 0.0000 x2  8 Y 3.58, 4 Sm 3.58
Y2 0.0000 0.5000 0.2004 x4  4 Sm 3.58, 8 Y 3.58
Y3 0.0000 0.5000 0.4009 x4  2 Dy 3.56, 8 Y 3.56-3.58, 2 Sm 3.59
Y4 0.5000 0.5000 0.1002 x2  8 Y 3.58, 4 Sm 3.58
Y5 0.5000 0.5000 0.3007 x2  8 Y 3.58, 4 Sm 3.58
Y6 0.5000 0.5000 0.5000 x1  8 Y 3.56, 4 Dy 3.58

***

12.
Ac3BiIrCl | PBE | relaxed

- V (Å³/atom) = 34.704
- N(E_F) (states/eV per cell) = 5.021
- crystal system = monoclinic
- theoretical density (g/cm3) = 8.913
- magnetic moment (μB/f.u.) = 0.0
- uncorrected energy (Ry per atom) = -0.4042

Cell: 9.3064 4.5763 10.0662 Å, 90.00 103.73 90.00°
Last column: nearest neighbours and their distance in Å.
Space group P2_1/m (No. 11)
One atom of each set of equivalent atoms:
Ac1 0.0588 0.2500 0.3503 x2  3 Ir 2.99-3.05
Ac2 0.2349 0.2500 0.9761 x2  3 Cl 2.95-3.21, 1 Ir 3.14
Ac3 0.3685 0.7500 0.6259 x2  1 Cl 2.88, 2 Ir 3.06
Bi1 0.3240 0.7500 0.2663 x2  7 Ac 3.54-3.65, 1 Cl 3.78
Ir1 0.1594 0.2500 0.6549 x2  6 Ac 2.99-3.14
Cl1 0.4116 0.7500 0.9187 x2  4 Ac 2.88-3.21, 2 Cl 3.06